# RbBOs2W PBE optimized geometry
# Energy of formation from the pure elements = 1861 meV/atom
# Final energy = -6.75 eV per atom
data_RbBOs2W
_cell_length_a 4.1946
_cell_length_b 4.1946
_cell_length_c 4.8324
_cell_angle_alpha 90.00
_cell_angle_beta 90.00
_cell_angle_gamma 90.00
_symmetry_space_group_name_H-M 'P 4/m m m'
_symmetry_Int_Tables_number 123
_symmetry_space_group_name_Hall '-P 4 2'
loop_
_atom_site_label
_atom_site_type_symbol
_atom_site_fract_x
_atom_site_fract_y
_atom_site_fract_z
Rb1 Rb 0.0000 0.0000 0.0000
B1 B 0.0000 0.0000 0.5000
Os1 Os 0.0000 0.5000 0.5000
W1 W 0.5000 0.5000 0.0000